<1>
MnRe5: relaxed, GGA-PBE.

Results
The calculation puts the density of states at the Fermi level at 11.75 states/eV per cell. Its calculated density is 18.80 Mg/m³.

The structure in CIF format:
```
data_MnRe5
_symmetry_space_group_name_H-M 'C m m m'
_symmetry_Int_Tables_number 65
_symmetry_space_group_name_Hall '-C 2 2'
_cell_length_a 3.8765
_cell_length_b 11.6189
_cell_length_c 3.8678
_cell_angle_alpha 90.00
_cell_angle_beta 90.00
_cell_angle_gamma 90.00
loop_
_atom_site_label
_atom_site_fract_x
_atom_site_fract_y
_atom_site_fract_z
Mn1 0.0000 0.0000 0.0000
Re1 0.0000 0.1628 0.5000
Re2 0.0000 0.3354 0.0000
Re3 0.0000 0.5000 0.5000
```

***

<2>
MnRe5: relaxed, GGA-PBE.

Results
The calculation puts the density of states at the Fermi level at 9.77 states/eV per cell. Its calculated density is 18.92 Mg/m³.

The structure in CIF format:
```
data_MnRe5
_symmetry_space_group_name_H-M 'A m m 2'
_symmetry_Int_Tables_number 38
_cell_length_a 4.4214
_cell_length_b 2.7509
_cell_length_c 14.2276
_cell_angle_alpha 90.00
_cell_angle_beta 90.00
_cell_angle_gamma 90.00
loop_
_symmetry_equiv_pos_as_xyz
'x,y,z'
'-x,-y,z'
'-x,y,z'
'x,-y,z'
'x,y+1/2,z+1/2'
'-x,-y+1/2,z+1/2'
'-x,y+1/2,z+1/2'
'x,-y+1/2,z+1/2'
loop_
_atom_site_label
_atom_site_fract_x
_atom_site_fract_y
_atom_site_fract_z
Mn1 0.0000 0.0000 0.0000
Re1 0.0000 0.0000 0.3364
Re2 0.0000 0.0000 0.6609
Re3 0.5000 0.0000 0.2216
Re4 0.5000 0.0000 0.5519
Re5 0.5000 0.0000 0.8903
```

***

Winner for stability: <2>

***

<1>
Mn5Re3: relaxed, GGA-PBE.

Results
The calculation puts the density of states at the Fermi level at 14.10 states/eV per cell. Its calculated density is 13.51 Mg/m³.

The structure in CIF format:
```
data_Mn5Re3
_symmetry_space_group_name_H-M 'C m m m'
_symmetry_Int_Tables_number 65
_symmetry_space_group_name_Hall '-C 2 2'
_cell_length_a 7.2982
_cell_length_b 7.4646
_cell_length_c 3.7588
_cell_angle_alpha 90.00
_cell_angle_beta 90.00
_cell_angle_gamma 90.00
loop_
_atom_site_label
_atom_site_fract_x
_atom_site_fract_y
_atom_site_fract_z
Mn1 0.0000 0.0000 0.0000
Mn2 0.2479 0.0000 0.5000
Mn3 0.2500 0.2500 0.0000
Re1 0.0000 0.2409 0.5000
Re2 0.0000 0.5000 0.0000
```

***

<2>
Mn5Re3: relaxed, GGA-PBE.

Results
The calculation puts the density of states at the Fermi level at 16.09 states/eV per cell. Its calculated density is 12.70 Mg/m³.

The structure in CIF format:
```
data_Mn5Re3
_symmetry_space_group_name_H-M 'P 63/m c m'
_symmetry_Int_Tables_number 193
_symmetry_space_group_name_Hall '-P 6c 2'
_cell_length_a 7.2592
_cell_length_b 7.2592
_cell_length_c 4.7749
_cell_angle_alpha 90.00
_cell_angle_beta 90.00
_cell_angle_gamma 120.00
loop_
_atom_site_label
_atom_site_fract_x
_atom_site_fract_y
_atom_site_fract_z
Mn1 0.0000 0.2191 0.2500
Mn2 0.3333 0.6667 0.0000
Re1 0.0000 0.4106 0.7500
```

***

Winner for stability: <1>

***

<1>
Mn4Re5: relaxed, GGA-PBE.

Results
The calculation puts the density of states at the Fermi level at 21.47 states/eV per cell. Its calculated density is 15.96 Mg/m³.

The structure in CIF format:
```
data_Mn4Re5
_symmetry_space_group_name_H-M 'I 4/m m m'
_symmetry_Int_Tables_number 139
_symmetry_space_group_name_Hall '-I 4 2'
_cell_length_a 7.9570
_cell_length_b 7.9570
_cell_length_c 3.7816
_cell_angle_alpha 90.00
_cell_angle_beta 90.00
_cell_angle_gamma 90.00
loop_
_atom_site_label
_atom_site_fract_x
_atom_site_fract_y
_atom_site_fract_z
Mn1 0.0000 0.3501 0.0000
Re1 0.0000 0.0000 0.0000
Re2 0.1717 0.1717 0.5000
```

***

<2>
Mn4Re5: relaxed, GGA-PBE.

Results
The calculation puts the density of states at the Fermi level at 20.92 states/eV per cell. Its calculated density is 15.93 Mg/m³.

The structure in CIF format:
```
data_Mn4Re5
_symmetry_space_group_name_H-M 'P 63/m c m'
_symmetry_Int_Tables_number 193
_symmetry_space_group_name_Hall '-P 6c 2'
_cell_length_a 7.2436
_cell_length_b 7.2436
_cell_length_c 5.2786
_cell_angle_alpha 90.00
_cell_angle_beta 90.00
_cell_angle_gamma 120.00
loop_
_atom_site_label
_atom_site_fract_x
_atom_site_fract_y
_atom_site_fract_z
Mn1 0.0000 0.0000 0.0000
Mn2 0.0000 0.3346 0.2500
Re1 0.0000 0.3245 0.7500
Re2 0.3333 0.6667 0.0000
```

***

Winner for stability: <1>

***

<1>
Mn4Re3: relaxed, GGA-PBE.

Results
The calculation puts the density of states at the Fermi level at 12.60 states/eV per cell. Its calculated density is 14.09 Mg/m³.

The structure in CIF format:
```
data_Mn4Re3
_symmetry_space_group_name_H-M 'I 4/m m m'
_symmetry_Int_Tables_number 139
_symmetry_space_group_name_Hall '-I 4 2'
_cell_length_a 3.0136
_cell_length_b 3.0136
_cell_length_c 20.2008
_cell_angle_alpha 90.00
_cell_angle_beta 90.00
_cell_angle_gamma 90.00
loop_
_atom_site_label
_atom_site_fract_x
_atom_site_fract_y
_atom_site_fract_z
Mn1 0.0000 0.0000 0.0713
Mn2 0.0000 0.0000 0.3607
Re1 0.0000 0.0000 0.2070
Re2 0.0000 0.0000 0.5000
```

***

<2>
Mn4Re3: relaxed, GGA-PBE.

Results
The calculation puts the density of states at the Fermi level at 8.09 states/eV per cell. Its calculated density is 12.81 Mg/m³.

The structure in CIF format:
```
data_Mn4Re3
_symmetry_space_group_name_H-M 'P 6/m m m'
_symmetry_Int_Tables_number 191
_symmetry_space_group_name_Hall '-P 6 2'
_cell_length_a 5.0345
_cell_length_b 5.0345
_cell_length_c 4.5957
_cell_angle_alpha 90.00
_cell_angle_beta 90.00
_cell_angle_gamma 120.00
loop_
_atom_site_label
_atom_site_fract_x
_atom_site_fract_y
_atom_site_fract_z
Mn1 0.0000 0.0000 0.2347
Mn2 0.3333 0.6667 0.0000
Re1 0.0000 0.5000 0.5000
```

***

Winner for stability: <1>

***

<1>
MnReRh: relaxed, GGA-PBE.

Results
The calculation puts the density of states at the Fermi level at 3.49 states/eV per cell. Its calculated density is 13.80 Mg/m³.

The structure in CIF format:
```
data_MnReRh
_symmetry_space_group_name_H-M 'P 3 m 1'
_symmetry_Int_Tables_number 156
_cell_length_a 2.7011
_cell_length_b 2.7011
_cell_length_c 6.5542
_cell_angle_alpha 90.00
_cell_angle_beta 90.00
_cell_angle_gamma 120.00
loop_
_symmetry_equiv_pos_as_xyz
'x,y,z'
'-y,x-y,z'
'-x+y,-x,z'
'-y,-x,z'
'-x+y,y,z'
'x,x-y,z'
loop_
_atom_site_label
_atom_site_fract_x
_atom_site_fract_y
_atom_site_fract_z
Mn1 0.0000 0.0000 0.0000
Re1 0.6667 0.3333 0.3266
Rh1 0.3333 0.6667 0.6763
```

***

<2>
MnReRh: relaxed, GGA-PBE.

Results
The calculation puts the density of states at the Fermi level at 4.23 states/eV per cell. Its calculated density is 13.92 Mg/m³.

The structure in CIF format:
```
data_MnReRh
_symmetry_space_group_name_H-M 'I 4 m m'
_symmetry_Int_Tables_number 107
_symmetry_space_group_name_Hall 'I 4 -2'
_cell_length_a 2.6871
_cell_length_b 2.6871
_cell_length_c 11.3682
_cell_angle_alpha 90.00
_cell_angle_beta 90.00
_cell_angle_gamma 90.00
loop_
_atom_site_label
_atom_site_fract_x
_atom_site_fract_y
_atom_site_fract_z
Mn1 0.0000 0.0000 0.0000
Re1 0.0000 0.0000 0.6626
Rh1 0.0000 0.0000 0.3336
```

***

<3>
MnReRh: relaxed, GGA-PBE.

Results
The calculation puts the density of states at the Fermi level at 11.41 states/eV per cell. Its calculated density is 12.51 Mg/m³.

The structure in CIF format:
```
data_MnReRh
_symmetry_space_group_name_H-M 'F -4 3 m'
_symmetry_Int_Tables_number 216
_symmetry_space_group_name_Hall 'F -4 2 3'
_cell_length_a 5.6741
_cell_length_b 5.6741
_cell_length_c 5.6741
_cell_angle_alpha 90.00
_cell_angle_beta 90.00
_cell_angle_gamma 90.00
loop_
_atom_site_label
_atom_site_fract_x
_atom_site_fract_y
_atom_site_fract_z
Mn1 0.0000 0.0000 0.0000
Re1 0.2500 0.2500 0.2500
Rh1 0.2500 0.2500 0.7500
```

***

Winner for stability: <2>

***

<1>
MnReRh4: relaxed, GGA-PBE.

Results
The calculation puts the density of states at the Fermi level at 58.86 states/eV per cell. Its calculated density is 12.32 Mg/m³.

The structure in CIF format:
```
data_MnReRh4
_symmetry_space_group_name_H-M 'F d d d'
_symmetry_Int_Tables_number 70
_cell_length_a 5.3925
_cell_length_b 8.9188
_cell_length_c 14.6337
_cell_angle_alpha 90.00
_cell_angle_beta 90.00
_cell_angle_gamma 90.00
loop_
_symmetry_equiv_pos_as_xyz
'x,y,z'
'-x,-y,-z'
'-x+1/4,-y+1/4,z'
'x+1/4,y+1/4,-z'
'x,-y+1/4,-z+1/4'
'-x,y+1/4,z+1/4'
'-x+1/4,y,-z+1/4'
'x+1/4,-y,z+1/4'
'x,y+1/2,z+1/2'
'-x,-y+1/2,-z+1/2'
'-x+1/4,-y+3/4,z+1/2'
'x+1/4,y+3/4,-z+1/2'
'x,-y+3/4,-z+3/4'
'-x,y+3/4,z+3/4'
'-x+1/4,y+1/2,-z+3/4'
'x+1/4,-y+1/2,z+3/4'
'x+1/2,y,z+1/2'
'-x+1/2,-y,-z+1/2'
'-x+3/4,-y+1/4,z+1/2'
'x+3/4,y+1/4,-z+1/2'
'x+1/2,-y+1/4,-z+3/4'
'-x+1/2,y+1/4,z+3/4'
'-x+3/4,y,-z+3/4'
'x+3/4,-y,z+3/4'
'x+1/2,y+1/2,z'
'-x+1/2,-y+1/2,-z'
'-x+3/4,-y+3/4,z'
'x+3/4,y+3/4,-z'
'x+1/2,-y+3/4,-z+1/4'
'-x+1/2,y+3/4,z+1/4'
'-x+3/4,y+1/2,-z+1/4'
'x+3/4,-y+1/2,z+1/4'
loop_
_atom_site_label
_atom_site_fract_x
_atom_site_fract_y
_atom_site_fract_z
Mn1 0.1250 0.1250 0.1250
Re1 0.1250 0.1250 0.6250
Rh1 0.1216 0.3725 0.5297
```

***

<2>
MnReRh4: relaxed, GGA-PBE.

Results
The calculation puts the density of states at the Fermi level at 26.17 states/eV per cell. Its calculated density is 11.93 Mg/m³.

The structure in CIF format:
```
data_MnReRh4
_symmetry_space_group_name_H-M 'F -4 3 m'
_symmetry_Int_Tables_number 216
_symmetry_space_group_name_Hall 'F -4 2 3'
_cell_length_a 7.1358
_cell_length_b 7.1358
_cell_length_c 7.1358
_cell_angle_alpha 90.00
_cell_angle_beta 90.00
_cell_angle_gamma 90.00
loop_
_atom_site_label
_atom_site_fract_x
_atom_site_fract_y
_atom_site_fract_z
Mn1 0.0000 0.0000 0.0000
Re1 0.2500 0.2500 0.2500
Rh1 0.1252 0.1252 0.6252
```

***

Winner for stability: <1>